Record 1
First-principles (PBE-GGA) data for a relaxed SiAg2Ru crystal, as listed in Alexandria.

a b c (Å): 4.4348 4.4348 6.2511
angles (deg): 90.00 90.00 90.00
Last column: nearest neighbours and their distance in Å.
Fractional positions:
1 Si 0.0000 0.0000 0.0000  4 Ru 2.71, 4 Ag 2.71
2 Si 0.5000 0.5000 0.5000  4 Ru 2.71, 4 Ag 2.71
3 Ag 0.0000 0.0000 0.5000  4 Ru 2.71, 4 Ag 2.71
4 Ag 0.0000 0.5000 0.7500  4 Si 2.71, 4 Ag 2.71
5 Ag 0.5000 0.0000 0.2500  4 Si 2.71, 4 Ag 2.71
6 Ag 0.5000 0.5000 0.0000  4 Ru 2.71, 4 Ag 2.71
7 Ru 0.0000 0.5000 0.2500  4 Si 2.71, 4 Ag 2.71
8 Ru 0.5000 0.0000 0.7500  4 Si 2.71, 4 Ag 2.71

Results
As for the electronic total energy: -4.85 eV per atom. As for the uncorrected formation energy: 0.2516 eV/atom.

=====

Record 2
First-principles (PBE-GGA) data for a relaxed LaMgCr2 crystal, as listed in Alexandria.

a b c (Å): 4.8903 4.8903 3.6083
angles (deg): 90.00 90.00 90.00
Last column: nearest neighbours and their distance in Å.
Fractional positions:
1 La 0.0000 0.0000 0.0000  8 Cr 3.04
2 Mg 0.5000 0.5000 0.0000  8 Cr 3.04
3 Cr 0.0000 0.5000 0.5000  4 La 3.04, 4 Mg 3.04
4 Cr 0.5000 0.0000 0.5000  4 La 3.04, 4 Mg 3.04

Results
As for the electronic total energy: -5.85 eV per atom. The value obtained for the formation enthalpy at 0 K is 593 meV per atom.

=====

Record 3
First-principles (PBE-GGA) data for a relaxed B2TeP crystal, as listed in Alexandria.

a b c (Å): 13.1709 3.0220 3.3274
angles (deg): 90.00 102.58 90.00
Last column: nearest neighbours and their distance in Å.
Fractional positions:
1 B 0.0000 0.0000 0.0000  2 B 1.71
2 B 0.0614 0.5000 0.0686  2 B 1.71
3 B 0.5000 0.5000 0.0000  2 B 1.71
4 B 0.5614 0.0000 0.0686  2 B 1.71
5 Te 0.1901 0.5000 0.6742  2 B 2.33-2.36
6 Te 0.6901 0.0000 0.6742  2 B 2.33-2.36
7 P 0.4172 0.5000 0.4298  2 B 1.97-1.98
8 P 0.9172 0.0000 0.4298  2 B 1.97-1.98

Results
As for the electronic total energy: -5.12 eV per atom. As for the uncorrected formation energy: 0.3614 eV/atom. For the energy relative to the lowest polymorph listed for this composition, the calculation gives 121.6 meV/atom.

=====

Record 4
First-principles (PBE-GGA) data for a relaxed SrNdCuAu crystal, as listed in Alexandria.

a b c (Å): 7.4413 7.4413 7.4413
angles (deg): 90.00 90.00 90.00
Last column: nearest neighbours and their distance in Å.
Fractional positions:
1 Sr 0.0000 0.0000 0.0000  4 Cu 3.22, 4 Au 3.22
2 Sr 0.0000 0.5000 0.5000  4 Cu 3.22, 4 Au 3.22
3 Sr 0.5000 0.0000 0.5000  4 Cu 3.22, 4 Au 3.22
4 Sr 0.5000 0.5000 0.0000  4 Cu 3.22, 4 Au 3.22
5 Nd 0.0000 0.0000 0.5000  4 Cu 3.22, 4 Au 3.22
6 Nd 0.0000 0.5000 0.0000  4 Cu 3.22, 4 Au 3.22
7 Nd 0.5000 0.0000 0.0000  4 Cu 3.22, 4 Au 3.22
8 Nd 0.5000 0.5000 0.5000  4 Cu 3.22, 4 Au 3.22
9 Cu 0.2500 0.2500 0.7500  4 Nd 3.22, 4 Sr 3.22
10 Cu 0.2500 0.7500 0.2500  4 Nd 3.22, 4 Sr 3.22
11 Cu 0.7500 0.2500 0.2500  4 Nd 3.22, 4 Sr 3.22
12 Cu 0.7500 0.7500 0.7500  4 Nd 3.22, 4 Sr 3.22
13 Au 0.2500 0.2500 0.2500  4 Nd 3.22, 4 Sr 3.22
14 Au 0.2500 0.7500 0.7500  4 Nd 3.22, 4 Sr 3.22
15 Au 0.7500 0.2500 0.7500  4 Nd 3.22, 4 Sr 3.22
16 Au 0.7500 0.7500 0.2500  4 Nd 3.22, 4 Sr 3.22

Results
As for the electronic total energy: -3.83 eV per atom. The value obtained for the formation enthalpy at 0 K is -379 meV per atom.

=====

Record 5
First-principles (PBE-GGA) data for a relaxed Ni2PbAu crystal, as listed in Alexandria.

a b c (Å): 3.2860 3.2860 22.2496
angles (deg): 90.00 90.00 120.00
Last column: nearest neighbours and their distance in Å.
Fractional positions:
1 Ni 0.0000 0.0000 0.2481  3 Au 2.62, 3 Pb 2.68
2 Ni 0.0000 0.0000 0.7519  3 Au 2.62, 3 Pb 2.68
3 Ni 0.3333 0.6667 0.4186  3 Au 2.62, 3 Pb 2.68
4 Ni 0.3333 0.6667 0.9147  3 Au 2.62, 3 Pb 2.68
5 Ni 0.6667 0.3333 0.0853  3 Au 2.62, 3 Pb 2.68
6 Ni 0.6667 0.3333 0.5814  3 Au 2.62, 3 Pb 2.68
7 Pb 0.0000 0.0000 0.0000  6 Ni 2.68
8 Pb 0.3333 0.6667 0.6667  6 Ni 2.68
9 Pb 0.6667 0.3333 0.3333  6 Ni 2.68
10 Au 0.0000 0.0000 0.5000  6 Ni 2.62
11 Au 0.3333 0.6667 0.1667  6 Ni 2.62
12 Au 0.6667 0.3333 0.8333  6 Ni 2.62

Results
As for the electronic total energy: -4.28 eV per atom. The value obtained for the formation enthalpy at 0 K is 352 meV per atom.

=====

Record 6
First-principles (PBE-GGA) data for a relaxed GaBi2IF crystal, as listed in Alexandria.

a b c (Å): 5.8187 5.8187 4.0930
angles (deg): 90.00 90.00 90.00
Last column: nearest neighbours and their distance in Å.
Fractional positions:
1 Ga 0.0000 0.0000 0.0000  2 F 2.05
2 Bi 0.0000 0.5000 0.0000  2 Ga 2.91
3 Bi 0.5000 0.0000 0.0000  2 Ga 2.91
4 I 0.5000 0.5000 0.5000  8 Bi 3.56
5 F 0.0000 0.0000 0.5000  2 Ga 2.05

Results
As for the electronic total energy: -3.23 eV per atom. As for the uncorrected formation energy: -0.3884 eV/atom.

=====

> The lowest electronic total energy belongs to which entry?

LaMgCr2

=====

> What is the formula in the first record?

SiAg2Ru

=====

> Which formula does entry 2 have?

LaMgCr2